No. 1
CoIrRu: relaxed, PBE-GGA.

```
CoIrRu
1.0
-5.6874 -0.6476 -0.9528
-3.9342 -3.9468 -1.6180
4.5635 1.7999 3.0997
Co Ir Ru
1 1 1
Direct
0.0013 0.0013 0.0000
0.3362 0.3362 0.0000
0.6625 0.6625 0.0000
```

Computed properties:
Fermi-level density of states: 3.75 states/eV/f.u.
formation energy: 7 kJ/mol of atoms
polymorph energy (0 for the lowest one): 49.3 meV/atom
crystal system: tetragonal

=====

No. 2
CuW2SeCl: relaxed, PBE-GGA.

```
CuW2SeCl
1.0
4.7286 0.0000 0.0000
0.0000 4.5717 0.0000
0.0000 0.0000 4.7286
Cu Se W Cl
1 1 2 1
Direct
0.0000 0.5000 0.0000
0.0000 0.0000 0.0000
0.0000 0.0000 0.5000
0.5000 0.0000 0.0000
0.5000 0.5000 0.5000
```

Computed properties:
Fermi-level density of states: 4.06 states/eV/f.u.
crystal system: tetragonal
energy: -5.35 eV per atom

=====

No. 3
Si2AgSb: relaxed, PBE-GGA.

```
Si2AgSb
1.0
4.5237 -0.0028 0.0096
2.9742 3.4085 0.0096
1.8118 0.8230 5.2580
Ag Sb Si
1 1 2
Direct
0.7500 0.7500 0.7500
0.2500 0.2500 0.2500
0.9963 0.9963 0.9295
0.5037 0.5037 0.5705
```

Computed properties:
Fermi-level density of states: 1.31 states/eV/f.u.
crystal system: monoclinic
energy: -4.06 eV per atom

=====

No. 4
BeZnOs2: relaxed, PBE-GGA.

```
BeZnOs2
1.0
8.2461 0.0073 0.0043
7.7939 2.6932 0.0043
7.7939 1.3122 2.3519
Be Zn Os
1 1 2
Direct
0.7500 0.7500 0.7500
0.2500 0.2500 0.2500
0.0069 0.0069 0.0069
0.4931 0.4931 0.4931
```

Computed properties:
Fermi-level density of states: 1.83 states/eV/f.u.
formation energy: 13 kJ/mol of atoms
crystal system: trigonal

=====

No. 5
Zr2HgRu: relaxed, PBE-GGA.

```
Zr2HgRu
1.0
-2.8018 7.3387 -5.1110
-2.3928 5.1480 -7.4567
-5.1693 5.2431 -5.7981
Hg Ru Zr
1 1 2
Direct
0.4933 0.4933 0.4933
0.7455 0.7455 0.7455
0.0112 0.0112 0.0112
0.2500 0.2500 0.2500
```

Computed properties:
Fermi-level density of states: 6.54 states/eV/f.u.
formation energy: 6 kJ/mol of atoms
crystal system: trigonal

=====

No. 6
TbSc2Pd: relaxed, PBE-GGA.

```
TbSc2Pd
1.0
4.6556 -0.0020 0.0000
-2.3297 5.5654 0.0000
0.0000 0.0000 7.3643
Tb Sc Pd
2 4 2
Direct
0.9477 0.8953 0.2500
0.0523 0.1047 0.7500
0.3492 0.6984 0.5405
0.6508 0.3016 0.4595
0.3492 0.6984 0.9595
0.6508 0.3016 0.0405
0.7982 0.5966 0.7500
0.2018 0.4034 0.2500
```

Computed properties:
Fermi-level density of states: 6.70 states/eV/f.u.
formation energy: -42 kJ/mol of atoms
polymorph energy (0 for the lowest one): 15.1 meV/atom
crystal system: orthorhombic

=====

No. 7
Li2BPPt6: relaxed, PBE-GGA.

```
Li2BPPt6
1.0
5.6193 0.0268 0.0182
-0.0329 6.7866 0.8596
2.7883 3.9836 4.8144
Li B P Pt
2 1 1 6
Direct
0.7103 0.2854 0.5797
0.2897 0.7146 0.4203
0.5000 0.5000 0.0000
0.0000 0.0000 0.0000
0.2582 0.2170 0.4838
0.7769 0.7365 0.9682
0.2564 0.7378 0.9673
0.7436 0.2622 0.0327
0.2231 0.2635 0.0318
0.7418 0.7830 0.5162
```

Computed properties:
Fermi-level density of states: 3.59 states/eV/f.u.
formation energy: -39 kJ/mol of atoms
crystal system: triclinic

=====

No. 8
LaIn4Os: relaxed, PBE-GGA.

```
LaIn4Os
1.0
0.0000 4.1823 4.1823
4.1823 0.0000 4.1823
4.1823 4.1823 0.0000
La In Os
1 4 1
Direct
0.7500 0.7500 0.7500
0.8766 0.3745 0.3745
0.3745 0.3745 0.8766
0.3745 0.8766 0.3745
0.3745 0.3745 0.3745
0.0000 0.0000 0.0000
```

Computed properties:
Fermi-level density of states: 6.54 states/eV/f.u.
formation energy: 41 kJ/mol of atoms
crystal system: cubic

=====

No. 9
SrLaRu: relaxed, PBE-GGA.

```
SrLaRu
1.0
5.0307 0.0000 0.0000
2.5154 4.3567 0.0000
2.5154 1.4522 4.1076
La Ru Sr
1 1 1
Direct
0.5000 0.5000 0.5000
0.7500 0.7500 0.7500
0.0000 0.0000 0.0000
```

Computed properties:
Fermi-level density of states: 3.22 states/eV/f.u.
formation energy: 14 kJ/mol of atoms
polymorph energy (0 for the lowest one): 124.3 meV/atom
crystal system: cubic

=====

No. 10
PmY3Tm3: relaxed, PBE-GGA.

```
PmY3Tm3
1.0
-1.3136 -8.1354 2.9536
5.2834 -6.5665 -2.3666
5.5018 -3.6573 5.7436
Pm Y Tm
2 6 6
Direct
0.3492 0.3492 0.3492
0.6508 0.6508 0.6508
0.7260 0.5685 0.0645
0.0645 0.7260 0.5685
0.5685 0.0645 0.7260
0.4315 0.9355 0.2740
0.9355 0.2740 0.4315
0.2740 0.4315 0.9355
0.7159 0.1729 0.9355
0.1729 0.9355 0.7159
0.9355 0.7159 0.1729
0.0645 0.2841 0.8271
0.8271 0.0645 0.2841
0.2841 0.8271 0.0645
```

Computed properties:
Fermi-level density of states: 12.15 states/eV/f.u.
formation energy: 20 kJ/mol of atoms
polymorph energy (0 for the lowest one): 201.6 meV/atom
crystal system: trigonal

=====

No. 11
Ca2CoSi: relaxed, PBE-GGA.

```
Ca2CoSi
1.0
4.9575 0.0000 0.0000
-2.4788 4.2933 0.0000
0.0000 0.0000 4.3852
Ca Co Si
2 1 1
Direct
0.3333 0.6667 0.2280
0.6667 0.3333 0.7720
0.0000 0.0000 0.0000
0.0000 0.0000 0.5000
```

Computed properties:
Fermi-level density of states: 1.62 states/eV/f.u.
crystal system: trigonal
energy: -4.44 eV per atom

=====

No. 12
BaHf2GaTc: relaxed, PBE-GGA.

```
BaHf2GaTc
1.0
5.0718 0.0000 0.0000
0.0000 5.1412 0.0000
0.0000 0.0000 5.0718
Hf Ba Ga Tc
2 1 1 1
Direct
0.0000 0.0000 0.5000
0.5000 0.0000 0.0000
0.5000 0.5000 0.5000
0.0000 0.5000 0.0000
0.0000 0.0000 0.0000
```

Computed properties:
Fermi-level density of states: 5.20 states/eV/f.u.
formation energy: 18 kJ/mol of atoms
crystal system: tetragonal